VASP calculation (GGA-PBE) on an optimized crystal structure of In2SnBr8.

Properties
**Formation energy from raw total energies**: -0.79 eV per atom
**Uncorrected energy**: -2.864 eV per atom
**Crystal system**: monoclinic
**Space-group type**: C2/c (15)

Unit cell a=11.1091 b=11.1091 c=13.4814 alpha=127.25 beta=127.25 gamma=50.00
With the nearest neighbours (Å) after each atom.
Atoms (fractional coordinates):
In1 0.1403 0.6684 0.9581  4 Br 2.49-2.61
In2 0.3316 0.8598 0.5419  4 Br 2.49-2.61
In3 0.6684 0.1403 0.4581  4 Br 2.49-2.61
In4 0.8598 0.3316 0.0419  4 Br 2.49-2.61
Sn1 0.4916 0.5084 0.7500  6 Br 2.95-3.15
Sn2 0.5084 0.4916 0.2500  6 Br 2.95-3.15
Br1 0.1474 0.6428 0.7600  1 In 2.55
Br2 0.1494 0.1544 0.0377  1 In 2.49
Br3 0.1544 0.1494 0.5377  1 In 2.49
Br4 0.2223 0.6441 0.3211  1 In 2.61
Br5 0.2844 0.3750 0.9655  1 In 2.59
Br6 0.3559 0.7777 0.1789  1 In 2.61
Br7 0.3572 0.8526 0.7400  1 In 2.55
Br8 0.3750 0.2844 0.4655  1 In 2.59
Br9 0.6250 0.7156 0.5345  1 In 2.59
Br10 0.6428 0.1474 0.2600  1 In 2.55
Br11 0.6441 0.2223 0.8211  1 In 2.61
Br12 0.7156 0.6250 0.0345  1 In 2.59
Br13 0.7777 0.3559 0.6789  1 In 2.61
Br14 0.8456 0.8506 0.4623  1 In 2.49
Br15 0.8506 0.8456 0.9623  1 In 2.49
Br16 0.8526 0.3572 0.2400  1 In 2.55